{"formula": "Ca2AlCu7", "functional": "PBE", "state": "relaxed", "ef_kcal_per_mol_atoms": -2.4, "lattice_angstrom": [[-0.491, -3.902, -0.457], [2.007, -0.645, 3.351], [-9.181, 0.501, 5.595]], "species": ["Cu", "Cu", "Cu", "Cu", "Cu", "Cu", "Cu", "Ca", "Ca", "Al"], "frac_coords": [[0.500, 0.500, 0.500], [0.000, 0.500, 0.635], [0.500, 0.000, 0.140], [0.000, 0.000, 0.500], [0.500, 0.000, 0.365], [0.000, 0.000, 0.000], [0.000, 0.500, 0.860], [0.000, 0.500, 0.257], [0.500, 0.000, 0.743], [0.500, 0.500, 0.000]]}

{"formula": "NbAlTe2N", "functional": "PBE", "state": "relaxed", "polymorph_energy_mev_per_atom": 306, "e_form_raw_ev_per_fu": 2.34, "lattice_angstrom": [[5.517, 0.000, 0.000], [0.000, 5.517, 0.000], [0.000, 0.000, 3.463]], "species": ["Nb", "Te", "Te", "N", "Al"], "frac_coords": [[0.500, 0.500, 0.500], [0.000, 0.500, 0.000], [0.500, 0.000, 0.000], [0.000, 0.000, 0.500], [0.000, 0.000, 0.000]]}

{"formula": "BeAgI3", "functional": "PBE", "state": "relaxed", "polymorph_energy_mev_per_atom": 541, "e_form_raw_ev_per_fu": 0.95, "lattice_angstrom": [[-3.245, 3.380, 2.584], [-3.915, -3.645, -0.149], [1.667, -1.981, 4.683]], "species": ["I", "I", "I", "Be", "Ag"], "frac_coords": [[0.500, 0.000, 0.000], [0.000, 0.000, 0.500], [0.000, 0.500, 0.000], [0.000, 0.000, 0.000], [0.500, 0.500, 0.500]]}

{"formula": "Tb2Nd5SmEr", "functional": "PBE", "state": "relaxed", "ef_kcal_per_mol_atoms": 3.2, "lattice_angstrom": [[5.672, 0.000, 0.000], [-2.836, 10.243, 0.000], [0.000, 0.000, 10.741]], "species": ["Nd", "Nd", "Nd", "Nd", "Nd", "Nd", "Nd", "Nd", "Nd", "Nd", "Sm", "Sm", "Tb", "Tb", "Tb", "Tb", "Er", "Er"], "frac_coords": [[0.297, 0.593, 0.704], [0.389, 0.778, 0.024], [0.720, 0.439, 0.810], [0.016, 0.032, 0.020], [0.519, 0.038, 0.244], [0.481, 0.962, 0.744], [0.280, 0.561, 0.310], [0.611, 0.222, 0.524], [0.984, 0.968, 0.520], [0.703, 0.407, 0.204], [0.800, 0.600, 0.510], [0.200, 0.400, 0.010], [0.889, 0.777, 0.238], [0.111, 0.223, 0.738], [0.884, 0.768, 0.814], [0.116, 0.232, 0.314], [0.409, 0.817, 0.461], [0.591, 0.183, 0.961]]}

{"formula": "LiLa2GaC", "functional": "PBE", "state": "relaxed", "ef_kcal_per_mol_atoms": -2.9, "lattice_angstrom": [[5.204, 0.000, 0.000], [0.000, 5.204, 0.000], [0.000, 0.000, 4.237]], "species": ["C", "La", "La", "Li", "Ga"], "frac_coords": [[0.000, 0.000, 0.000], [0.000, 0.500, 0.000], [0.500, 0.000, 0.000], [0.000, 0.000, 0.500], [0.500, 0.500, 0.500]]}

{"formula": "Tb4Ho11Er9", "functional": "PBE", "state": "relaxed", "ef_kcal_per_mol_atoms": 1.2, "lattice_angstrom": [[3.629, 0.000, 0.000], [0.000, 13.737, -5.834], [0.000, 0.034, 14.924]], "species": ["Ho", "Ho", "Ho", "Ho", "Ho", "Ho", "Ho", "Ho", "Ho", "Ho", "Ho", "Er", "Er", "Er", "Er", "Er", "Er", "Er", "Er", "Er", "Tb", "Tb", "Tb", "Tb"], "frac_coords": [[0.000, 0.955, 0.593], [0.000, 0.407, 0.045], [0.000, 0.291, 0.291], [0.000, 0.045, 0.407], [0.000, 0.633, 0.367], [0.000, 0.709, 0.709], [0.000, 0.841, 0.159], [0.000, 0.593, 0.955], [0.000, 0.000, 0.000], [0.000, 0.159, 0.841], [0.000, 0.367, 0.633], [0.500, 0.932, 0.787], [0.500, 0.068, 0.213], [0.500, 0.500, 0.500], [0.500, 0.787, 0.932], [0.500, 0.367, 0.836], [0.500, 0.213, 0.068], [0.500, 0.836, 0.367], [0.500, 0.633, 0.164], [0.500, 0.164, 0.633], [0.500, 0.756, 0.554], [0.500, 0.554, 0.756], [0.500, 0.446, 0.244], [0.500, 0.244, 0.446]]}

{"formula": "Zr2BeNi", "functional": "PBE", "state": "relaxed", "ef_kcal_per_mol_atoms": -4.2, "lattice_angstrom": [[3.901, 0.000, 0.000], [1.950, 3.379, 0.015], [1.950, 1.104, 5.190]], "species": ["Zr", "Zr", "Be", "Ni"], "frac_coords": [[0.897, 0.660, 0.546], [0.707, 0.470, 0.115], [0.129, 0.892, 0.849], [0.477, 0.239, 0.807]]}

{"formula": "Ho3Mo2C4", "functional": "PBE", "state": "relaxed", "ef_kcal_per_mol_atoms": -4.1, "lattice_angstrom": [[3.222, 0.000, 0.000], [-1.611, 5.463, 0.243], [0.000, -1.926, 7.291]], "species": ["Ho", "Ho", "Ho", "C", "C", "C", "C", "Mo", "Mo"], "frac_coords": [[0.401, 0.802, 0.613], [0.000, 0.000, 0.000], [0.599, 0.198, 0.387], [0.930, 0.860, 0.298], [0.665, 0.331, 0.098], [0.335, 0.669, 0.902], [0.070, 0.140, 0.702], [0.303, 0.605, 0.165], [0.697, 0.395, 0.835]]}

{"formula": "Ga2AgPt", "functional": "PBE", "state": "relaxed", "polymorph_energy_mev_per_atom": 224, "ef_kcal_per_mol_atoms": -2.2, "lattice_angstrom": [[7.350, 0.000, 0.000], [0.000, 7.350, 0.000], [3.675, 3.675, 2.758]], "species": ["Ga", "Ga", "Ga", "Ga", "Pt", "Pt", "Ag", "Ag"], "frac_coords": [[0.875, 0.910, 0.750], [0.090, 0.625, 0.250], [0.660, 0.125, 0.250], [0.375, 0.340, 0.750], [0.750, 0.250, 0.500], [0.000, 0.000, 0.000], [0.250, 0.750, 0.500], [0.500, 0.500, 0.000]]}

{"formula": "La2NCl", "functional": "PBE", "state": "relaxed", "e_form_raw_ev_per_fu": -3.65, "lattice_angstrom": [[4.081, -2.314, 1.013], [2.422, 1.049, 4.009], [0.136, -3.153, 3.616]], "species": ["Cl", "La", "La", "N"], "frac_coords": [[0.500, 0.500, 0.500], [0.250, 0.250, 0.250], [0.750, 0.750, 0.750], [0.000, 0.000, 0.000]]}

{"formula": "DyPuTh2", "functional": "PBE", "state": "relaxed", "polymorph_energy_mev_per_atom": 14, "ef_kcal_per_mol_atoms": 2.6, "lattice_angstrom": [[-1.996, -2.562, 1.400], [0.847, -1.384, 3.143], [-6.801, 6.515, 6.691]], "species": ["Dy", "Th", "Th", "Pu"], "frac_coords": [[0.499, 0.499, 0.504], [0.252, 0.252, 0.244], [0.081, 0.081, 0.758], [0.669, 0.669, 0.994]]}

{"formula": "Sr3Sm2NpAs6", "functional": "PBE", "state": "relaxed", "ef_kcal_per_mol_atoms": -26.4, "lattice_angstrom": [[-5.031, -5.179, -1.674], [6.627, -0.066, -3.318], [2.035, -2.428, 6.882]], "species": ["As", "As", "As", "As", "As", "As", "Np", "Sm", "Sm", "Sr", "Sr", "Sr"], "frac_coords": [[0.611, 0.927, 0.780], [0.240, 0.240, 0.780], [0.389, 0.073, 0.220], [0.760, 0.760, 0.220], [0.927, 0.611, 0.780], [0.073, 0.389, 0.220], [0.000, 0.000, 0.000], [0.666, 0.334, 0.000], [0.334, 0.666, 0.000], [0.500, 0.500, 0.500], [0.171, 0.829, 0.500], [0.829, 0.171, 0.500]]}